This record from the Alexandria database describes an optimized crystal structure of YFe2RuC. The functional is PBE-GGA.

Unit cell a=3.9731 b=3.9731 c=4.1968 alpha=90.00 beta=90.00 gamma=90.00
Positions (direct):
Y: 0.0000 0.0000 0.0000
Fe: 0.0000 0.5000 0.5000
Fe: 0.5000 0.0000 0.5000
Ru: 0.5000 0.5000 0.0000
C: 0.5000 0.5000 0.5000

Output
ΔE_f   -0.05 eV per atom
Size of the total moment   2.91 μB/f.u.
Calculated total energy   -8.43 eV/atom
SG   P4/mmm